CrBO3 | GGA+U | optimized geometry

Lattice parameters (Å, degrees): 3.127 5.077 6.206 98.74 90.80 90.14
Atoms (fractional coordinates):
Cr (0.245, 0.309, 0.310)
Cr (0.755, 0.691, 0.690)
B (0.251, 0.200, 0.791)
B (0.749, 0.800, 0.209)
O (0.241, 0.268, 0.002)
O (0.253, 0.406, 0.650)
O (0.255, 0.937, 0.679)
O (0.745, 0.063, 0.321)
O (0.747, 0.594, 0.350)
O (0.759, 0.732, 0.998)

Calculated values
Spin magnetization (μB/f.u.): 3.0
E_tot (eV per atom): -7.893
Space group: P-1, No. 2
Fermi-level density of states (states/eV per atom): 0.00